First-principles (SCAN) data for a PBEsol-optimized structure of Mg2MnTcOs, as listed in the Alexandria database.

Results
Fermi-level density of states in states/eV/atom: 0.6847
Total magnetic moment in μB/f.u.: 5.038
Energy of formation in eV/atom: 0.8742
E_tot in eV/cell: -130.77

Cell lengths 4.860, 4.860, 4.608 Å; angles 90.00, 90.00, 90.00 degrees
Space group P4/mmm (No. 123)
Symmetry-distinct sites (fractional):
Mg: 0.000 0.500 0.000
Mn: 0.000 0.000 0.500
Tc: 0.500 0.500 0.500
Os: 0.500 0.500 0.000